No. 1
6
Lattice="0.0000 4.4658 4.4658 4.4658 0.0000 4.4658 4.4658 4.4658 0.0000" Properties=species:S:1:pos:R:3 comment="BaLaZr4 | Alexandria | PBE | optimized geometry" crystal_system=cubic ef_ev_per_atom=0.47 vol_a3_per_cell=178.1 n_ef_per_ev_cell=10.29 e_tot_ev_per_atom=-6.375 pbc="T T T"
Ba 0.0000 0.0000 0.0000
La 6.6987 6.6987 6.6987
Zr 3.3948 3.3948 3.3948
Zr 5.5368 5.5368 3.3948
Zr 5.5368 3.3948 5.5368
Zr 3.3948 5.5368 5.5368



No. 2
11
Lattice="-2.3732 2.3732 16.6138 2.3732 -2.3732 16.6138 2.3732 2.3732 -16.6138" Properties=species:S:1:pos:R:3 comment="Pm3Dy6Ho2 | Alexandria | PBE | optimized geometry" crystal_system=tetragonal ef_ev_per_atom=0.28 vol_a3_per_cell=374.3 n_ef_per_ev_cell=17.00 e_tot_ev_per_atom=-4.361 pbc="T T T"
Pm 0.0000 0.0000 0.0000
Pm 0.0000 0.0000 6.7193
Pm 0.0000 0.0000 26.5082
Dy 2.3732 0.0000 3.9997
Dy 0.0000 0.0000 10.1637
Dy 2.3732 0.0000 12.6141
Dy 0.0000 2.3732 3.9997
Dy 0.0000 0.0000 23.0638
Dy 0.0000 2.3732 12.6141
Ho 0.0000 0.0000 15.0846
Ho 0.0000 0.0000 18.1429



No. 3
10
Lattice="1.9176 -5.8192 0.0000 1.9176 5.8192 0.0000 0.0000 0.0000 7.0735" Properties=species:S:1:pos:R:3 comment="AcCu2PN | Alexandria | PBE | optimized geometry" crystal_system=orthorhombic raw_formation_energy_ev_per_atom=-0.5593 vol_a3_per_cell=157.9 n_ef_per_ev_cell=6.05 e_tot_ev_per_atom=-5.767 pbc="T T T"
Ac 1.9176 5.2836 5.3051
Ac 1.9176 -5.2836 1.7684
Cu 1.9176 1.9964 3.9841
Cu 1.9176 1.9964 6.6262
Cu 1.9176 -1.9964 0.4473
Cu 1.9176 -1.9964 3.0895
P 1.9176 3.1376 1.7684
P 1.9176 -3.1376 5.3051
N 1.9176 0.0000 0.0000
N 1.9176 0.0000 3.5368



No. 4
12
Lattice="3.0335 -5.2450 0.0000 3.0335 5.2450 0.0000 -2.0048 0.0000 11.4279" Properties=species:S:1:pos:R:3 comment="Y3Ho6Er2Zr | Alexandria | PBE | optimized geometry" crystal_system=monoclinic ef_ev_per_atom=0.04 vol_a3_per_cell=363.6 n_ef_per_ev_cell=15.59 e_tot_ev_per_atom=-5.334 pbc="T T T"
Y 0.0000 0.0000 0.0000
Y 3.0335 1.7476 0.0000
Y 3.0335 -1.7476 0.0000
Ho 1.0349 1.7158 2.9365
Ho 0.0530 0.0000 8.4869
Ho 1.0349 -1.7158 2.9365
Ho 3.0273 1.7158 8.4914
Ho 4.0092 0.0000 2.9410
Ho 3.0273 -1.7158 8.4914
Er 2.0311 3.4956 5.7139
Er 2.0311 -3.4956 5.7139
Zr 2.0311 0.0000 5.7139



No. 5
4
Lattice="3.6424 0.0000 0.0000 0.0000 4.5691 0.0000 -1.8032 0.0000 5.9377" Properties=species:S:1:pos:R:3 comment="LaSc2Cu | Alexandria | PBE | optimized geometry" crystal_system=monoclinic ef_ev_per_atom=0.05 vol_a3_per_cell=98.8 n_ef_per_ev_cell=5.89 relative_energy_ev_per_atom=0.1296 e_tot_ev_per_atom=-5.370 pbc="T T T"
La 0.0000 0.0000 0.0000
Sc -0.0018 0.0000 3.2261
Sc 1.8204 2.2845 2.1049
Cu 0.0195 2.2845 4.7005



No. 6
14
Lattice="-3.6576 3.6952 5.1332 3.6576 -3.6952 5.1332 3.6576 3.6952 -5.1332" Properties=species:S:1:pos:R:3 comment="RbCeBiO4 | Alexandria | PBE | optimized geometry" crystal_system=orthorhombic raw_formation_energy_ev_per_atom=-2.1594 vol_a3_per_cell=277.5 n_ef_per_ev_cell=0.00 e_tot_ev_per_atom=-6.533 pbc="T T T"
Rb 0.0000 1.8476 1.3049
Rb 3.6576 1.8476 3.8283
Ce 1.8288 1.8476 -2.5666
Ce 1.8288 -1.8476 2.5666
Bi 3.6576 0.0000 0.0000
Bi 0.0000 0.0000 5.1332
O 3.6576 -0.4347 2.4002
O 3.6576 3.2606 -2.4002
O 2.1117 1.8476 -0.3316
O 5.2035 1.8476 -0.3316
O -1.5459 1.8476 5.4648
O 1.5459 1.8476 5.4648
O 0.0000 0.4347 7.5334
O 0.0000 4.1299 2.7330



No. 7
4
Lattice="3.1363 0.0000 0.0000 0.0000 4.8007 0.0000 0.0000 0.0000 4.9598" Properties=species:S:1:pos:R:3 comment="TaIn2Os | Alexandria | PBE | optimized geometry" crystal_system=orthorhombic ef_ev_per_atom=0.43 vol_a3_per_cell=74.7 n_ef_per_ev_cell=2.84 relative_energy_ev_per_atom=0.3975 e_tot_ev_per_atom=-6.707 pbc="T T T"
Ta 0.0000 0.0000 0.0000
In 0.0000 2.4003 2.4799
In 1.5681 2.4003 0.0000
Os 1.5681 0.0000 2.4799



No. 8
14
Lattice="6.8452 0.0000 0.0000 0.0000 6.8452 0.0000 0.0000 0.0000 3.5358" Properties=species:S:1:pos:R:3 comment="TaNi4P2 | Alexandria | PBE | optimized geometry" crystal_system=tetragonal ef_ev_per_atom=-0.57 vol_a3_per_cell=165.7 n_ef_per_ev_cell=12.41 e_tot_ev_per_atom=-7.114 pbc="T T T"
Ta 0.0000 0.0000 0.0000
Ta 3.4226 3.4226 1.7679
Ni 0.5517 2.2514 1.7679
Ni 1.1712 3.9743 0.0000
Ni 2.2514 0.5517 1.7679
Ni 2.8709 5.6740 0.0000
Ni 3.9743 1.1712 0.0000
Ni 4.5938 6.2935 1.7679
Ni 5.6740 2.8709 0.0000
Ni 6.2935 4.5938 1.7679
P 1.5190 5.3262 1.7679
P 1.9036 1.9036 0.0000
P 4.9416 4.9416 0.0000
P 5.3262 1.5190 1.7679



No. 9
8
Lattice="-1.7486 5.7472 6.2615 1.7486 -5.7472 6.2615 1.7486 5.7472 -6.2615" Properties=species:S:1:pos:R:3 comment="Sm3Tm4Mg | Alexandria | PBE | optimized geometry" crystal_system=orthorhombic ef_ev_per_atom=0.09 vol_a3_per_cell=251.7 n_ef_per_ev_cell=10.69 relative_energy_ev_per_atom=0.0883 e_tot_ev_per_atom=-4.116 pbc="T T T"
Sm 0.0000 0.0000 0.0000
Sm 1.7486 0.0000 3.3367
Sm 0.0000 5.7472 2.9248
Tm 1.7486 2.9287 -1.6778
Tm 1.7486 2.9287 1.6778
Tm 0.0000 2.8185 4.5836
Tm 0.0000 2.8185 7.9393
Mg 0.0000 0.0000 6.2615



No. 10
4
Lattice="1.6560 0.9561 10.4948 -1.6560 0.9561 10.4948 0.0000 -1.9122 10.4948" Properties=species:S:1:pos:R:3 comment="Lu2MgBe | Alexandria | PBE | optimized geometry" crystal_system=trigonal ef_ev_per_atom=0.35 vol_a3_per_cell=99.7 n_ef_per_ev_cell=2.66 relative_energy_ev_per_atom=0.3580 e_tot_ev_per_atom=-3.238 pbc="T T T"
Lu 0.0000 0.0000 3.2691
Lu 0.0000 0.0000 28.2152
Mg 0.0000 0.0000 0.0000
Be 0.0000 0.0000 15.7422



No. 11
4
Lattice="0.0000 3.5019 3.5019 3.5019 0.0000 3.5019 3.5019 3.5019 0.0000" Properties=species:S:1:pos:R:3 comment="CaHoNiAu | Alexandria | PBE | optimized geometry" crystal_system=cubic ef_ev_per_atom=-0.48 vol_a3_per_cell=85.9 n_ef_per_ev_cell=1.72 e_tot_ev_per_atom=-4.391 pbc="T T T"
Ca 0.0000 0.0000 0.0000
Ho 3.5019 3.5019 3.5019
Ni 5.2528 5.2528 5.2528
Au 1.7509 1.7509 1.7509



No. 12
5
Lattice="6.9641 0.0000 0.0000 0.0000 6.9641 0.0000 0.0000 0.0000 6.9641" Properties=species:S:1:pos:R:3 comment="Rb3YIn | Alexandria | PBE | optimized geometry" crystal_system=cubic ef_ev_per_atom=0.71 vol_a3_per_cell=337.7 n_ef_per_ev_cell=7.49 relative_energy_ev_per_atom=0.0000 e_tot_ev_per_atom=-1.708 pbc="T T T"
Rb 0.0000 0.0000 3.4820
Rb 0.0000 3.4820 0.0000
Rb 3.4820 0.0000 0.0000
Y 3.4820 3.4820 3.4820
In 0.0000 0.0000 0.0000